! CoReOsSeO | Alexandria via LeMat-Bulk | PBE+U | optimized geometry; values from VASP
&SYSTEM
  ibrav = 0, nat = 5, ntyp = 5
/
ATOMIC_SPECIES
Co 58.93 Co.upf
Re 186.21 Re.upf
Os 190.23 Os.upf
Se 78.96 Se.upf
O 16.00 O.upf
CELL_PARAMETERS angstrom
-1.4063 1.9102 6.5826
1.4063 -1.9102 6.5826
1.4063 1.9102 -6.5826
ATOMIC_POSITIONS angstrom
Co 0.0000 0.0000 0.0000
Re 0.0000 0.0000 8.2578
Os 0.0000 0.0000 2.9002
Se 0.0000 1.9102 4.6064
O 0.0000 1.9102 0.2028
! E above lowest polymorph	47.7	meV per atom
! symmetry	Imm2 (44)
! M_tot	0.286	μB/atom